Computed, not measured: a relaxed KMgHg4 crystal at the PBE level of DFT.

a b c (Å): 3.6566 4.3234 10.5410
angles (deg): 90.00 89.94 90.00
With the nearest neighbours (Å) after each atom.
Fractional coordinates of all 6 atoms:
1 K 0.5000 0.0000 0.0000  10 Hg 3.57-3.77, 2 K 3.66
2 Hg 0.9991 0.4996 0.2069  1 Mg 3.09, 4 Hg 3.25
3 Hg 0.0009 0.5004 0.7931  1 Mg 3.09, 4 Hg 3.25
4 Hg 0.5007 0.0004 0.6419  5 Hg 2.99-3.25, 4 Mg 3.20-3.21
5 Hg 0.4993 0.9996 0.3581  5 Hg 2.99-3.25, 4 Mg 3.20-3.21
6 Mg 0.0000 0.5000 0.5000  10 Hg 3.09-3.21

Results
volume: 27.774 Å³ per atom
energy of formation: -0.17 eV/atom
energy above the most stable polymorph in this dataset: 0.0000 eV per atom
calculated density: 8.63 Mg/m³
total magnetization: 0.00 μB/atom